No. 1
## YTl3Ni (PBE)

Data for YTl3Ni after structural relaxation. Values from VASP.

The structure in Quantum ESPRESSO input format:
```
&SYSTEM
  ibrav = 0, nat = 5, ntyp = 3
/
ATOMIC_SPECIES
Tl 204.38 Tl.upf
Ni 58.69 Ni.upf
Y 88.91 Y.upf
CELL_PARAMETERS angstrom
-0.896 3.293 -4.800
-0.620 -4.883 -3.234
-5.787 0.013 1.090
ATOMIC_POSITIONS crystal
Tl 0.500 0.000 0.000
Tl 0.000 0.500 0.000
Tl 0.000 0.000 0.500
Ni 0.500 0.500 0.500
Y 0.000 0.000 0.000
```

Summary:
Crystal system = cubic
Energy relative to the lowest polymorph listed for this composition = 1044 meV/atom
Density of states at the Fermi level = 10.0 states/eV per cell
Calculated volume = 40.8 Å³ per atom
Energy relative to the elements = 5.67 eV/f.u.


No. 2
## K2LiCa (PBE)

Data for K2LiCa after structural relaxation. Values from VASP.

The structure in Quantum ESPRESSO input format:
```
&SYSTEM
  ibrav = 0, nat = 4, ntyp = 3
/
ATOMIC_SPECIES
Li 6.94 Li.upf
K 39.10 K.upf
Ca 40.08 Ca.upf
CELL_PARAMETERS angstrom
-0.584 4.117 0.562
-2.479 0.111 -3.385
-11.373 -2.028 3.046
ATOMIC_POSITIONS crystal
Li 0.000 0.469 0.531
K 0.000 0.028 0.972
K 0.500 0.192 0.308
Ca 0.500 0.811 0.689
```

Summary:
Crystal system = monoclinic
Energy relative to the lowest polymorph listed for this composition = 0 meV/atom
Density of states at the Fermi level = 2.8 states/eV per cell
Calculated volume = 49.2 Å³ per atom
Energy relative to the elements = 0.43 eV/f.u.


No. 3
## AsIrN2 (PBE)

Data for AsIrN2 after structural relaxation. Values from VASP.

The structure in Quantum ESPRESSO input format:
```
&SYSTEM
  ibrav = 0, nat = 4, ntyp = 3
/
ATOMIC_SPECIES
Ir 192.22 Ir.upf
As 74.92 As.upf
N 14.01 N.upf
CELL_PARAMETERS angstrom
-4.539 -3.217 3.056
-2.847 -1.915 5.340
-5.032 -0.237 3.862
ATOMIC_POSITIONS crystal
Ir 0.500 0.500 0.500
As 0.000 0.000 0.000
N 0.112 0.112 0.112
N 0.888 0.888 0.888
```

Summary:
Crystal system = trigonal
Density of states at the Fermi level = 2.6 states/eV per cell
Formation energy from raw total energies = 0.73 eV/atom
Calculated volume = 12.9 Å³ per atom


No. 4
## Rb3Te2S4 (PBE)

Data for Rb3Te2S4 after structural relaxation. Values from VASP.

The structure in Quantum ESPRESSO input format:
```
&SYSTEM
  ibrav = 0, nat = 18, ntyp = 3
/
ATOMIC_SPECIES
Te 127.60 Te.upf
S 32.06 S.upf
Rb 85.47 Rb.upf
CELL_PARAMETERS angstrom
9.397 -1.000 -0.716
-0.392 9.282 0.547
-0.392 3.508 8.611
ATOMIC_POSITIONS crystal
Te 0.072 0.521 0.834
Te 0.928 0.479 0.166
Te 0.428 0.166 0.479
Te 0.572 0.834 0.521
S 0.314 0.614 0.768
S 0.186 0.232 0.386
S 0.473 0.123 0.754
S 0.527 0.877 0.246
S 0.814 0.768 0.614
S 0.973 0.754 0.123
S 0.027 0.246 0.877
S 0.686 0.386 0.232
Rb 0.114 0.970 0.759
Rb 0.750 0.413 0.587
Rb 0.250 0.587 0.413
Rb 0.614 0.759 0.970
Rb 0.886 0.030 0.241
Rb 0.386 0.241 0.030
```

Summary:
Crystal system = monoclinic
Density of states at the Fermi level = 6.7 states/eV per cell
Formation energy from raw total energies = -0.63 eV/atom
Calculated volume = 40.5 Å³ per atom


No. 5
## CsMg3Hg2 (PBE)

Data for CsMg3Hg2 after structural relaxation. Values from VASP.

The structure in Quantum ESPRESSO input format:
```
&SYSTEM
  ibrav = 0, nat = 12, ntyp = 3
/
ATOMIC_SPECIES
Mg 24.30 Mg.upf
Hg 200.59 Hg.upf
Cs 132.91 Cs.upf
CELL_PARAMETERS angstrom
4.685 0.000 0.000
-2.342 8.438 -3.468
0.000 -0.155 9.545
ATOMIC_POSITIONS crystal
Mg 0.680 0.360 0.438
Mg 0.584 0.168 0.642
Mg 0.032 0.064 0.363
Mg 0.416 0.832 0.358
Mg 0.320 0.640 0.562
Mg 0.968 0.936 0.637
Hg 0.179 0.358 0.633
Hg 0.521 0.043 0.175
Hg 0.821 0.642 0.367
Hg 0.479 0.957 0.825
Cs 0.840 0.681 0.939
Cs 0.160 0.319 0.061
```

Summary:
Crystal system = monoclinic
Density of states at the Fermi level = 5.5 states/eV per cell
Calculated volume = 31.2 Å³ per atom
Energy relative to the elements = -0.83 eV/f.u.


No. 6
## MgBeCr (PBE)

Data for MgBeCr after structural relaxation. Values from VASP.

The structure in Quantum ESPRESSO input format:
```
&SYSTEM
  ibrav = 0, nat = 12, ntyp = 3
/
ATOMIC_SPECIES
Be 9.01 Be.upf
Cr 52.00 Cr.upf
Mg 24.30 Mg.upf
CELL_PARAMETERS angstrom
3.118 0.000 -0.393
0.000 3.199 0.000
-4.223 0.000 17.290
ATOMIC_POSITIONS crystal
Be 0.328 0.500 0.040
Be 0.328 0.000 0.540
Be 0.672 0.500 0.960
Be 0.672 0.000 0.460
Cr 0.134 0.000 0.940
Cr 0.134 0.500 0.440
Cr 0.866 0.500 0.560
Cr 0.866 0.000 0.060
Mg 0.383 0.000 0.317
Mg 0.617 0.500 0.183
Mg 0.383 0.500 0.817
Mg 0.617 0.000 0.683
```

Summary:
Crystal system = monoclinic
Energy relative to the lowest polymorph listed for this composition = 92 meV/atom
Density of states at the Fermi level = 6.3 states/eV per cell
Calculated volume = 13.9 Å³ per atom
Energy relative to the elements = 0.59 eV/f.u.


No. 7
## TmMn3Al10 (PBE)

Data for TmMn3Al10 after structural relaxation. Values from VASP.

The structure in Quantum ESPRESSO input format:
```
&SYSTEM
  ibrav = 0, nat = 28, ntyp = 3
/
ATOMIC_SPECIES
Al 26.98 Al.upf
Mn 54.94 Mn.upf
Tm 168.93 Tm.upf
CELL_PARAMETERS angstrom
7.668 0.000 4.427
2.556 7.230 4.427
0.000 0.000 8.854
ATOMIC_POSITIONS crystal
Al 0.320 0.000 0.000
Al 0.680 0.000 0.000
Al 0.000 0.000 0.680
Al 0.680 0.320 0.000
Al 0.392 0.392 0.392
Al 0.823 0.392 0.392
Al 0.680 0.000 0.320
Al 0.177 0.608 0.608
Al 0.000 0.680 0.000
Al 0.320 0.000 0.680
Al 0.320 0.680 0.000
Al 0.000 0.320 0.680
Al 0.608 0.608 0.177
Al 0.608 0.177 0.608
Al 0.392 0.823 0.392
Al 0.000 0.000 0.320
Al 0.000 0.680 0.320
Al 0.000 0.320 0.000
Al 0.608 0.608 0.608
Al 0.392 0.392 0.823
Mn 0.263 0.737 0.263
Mn 0.737 0.737 0.263
Mn 0.737 0.263 0.263
Mn 0.263 0.737 0.737
Mn 0.737 0.263 0.737
Mn 0.263 0.263 0.737
Tm 0.750 0.750 0.750
Tm 0.250 0.250 0.250
```

Summary:
Crystal system = cubic
Density of states at the Fermi level = 18.0 states/eV per cell
Calculated volume = 17.5 Å³ per atom
Energy relative to the elements = 0.50 eV/f.u.


No. 8
## Ti4Sn2Te (PBE)

Data for Ti4Sn2Te after structural relaxation. Values from VASP.

The structure in Quantum ESPRESSO input format:
```
&SYSTEM
  ibrav = 0, nat = 7, ntyp = 3
/
ATOMIC_SPECIES
Ti 47.87 Ti.upf
Sn 118.71 Sn.upf
Te 127.60 Te.upf
CELL_PARAMETERS angstrom
4.889 0.000 0.000
0.000 4.889 0.000
2.444 2.444 7.307
ATOMIC_POSITIONS crystal
Ti 0.179 0.179 0.642
Ti 0.500 0.000 0.000
Ti 0.000 0.500 0.000
Ti 0.821 0.821 0.358
Sn 0.369 0.369 0.263
Sn 0.631 0.631 0.737
Te 0.000 0.000 0.000
```

Summary:
Crystal system = tetragonal
Density of states at the Fermi level = 11.3 states/eV per cell
Formation energy from raw total energies = 0.41 eV/atom
Calculated volume = 25.0 Å³ per atom


No. 9
## Th3TlHg4 (PBE)

Data for Th3TlHg4 after structural relaxation. Values from VASP.

The structure in Quantum ESPRESSO input format:
```
&SYSTEM
  ibrav = 0, nat = 8, ntyp = 3
/
ATOMIC_SPECIES
Hg 200.59 Hg.upf
Th 232.04 Th.upf
Tl 204.38 Tl.upf
CELL_PARAMETERS angstrom
3.372 0.000 0.000
0.000 6.230 0.000
-1.686 -3.115 10.602
ATOMIC_POSITIONS crystal
Hg 0.377 0.621 0.754
Hg 0.377 0.133 0.754
Hg 0.623 0.379 0.246
Hg 0.623 0.867 0.246
Th 0.759 0.759 0.517
Th 0.000 0.500 0.000
Th 0.241 0.241 0.483
Tl 0.500 0.000 0.000
```

Summary:
Crystal system = orthorhombic
Energy relative to the lowest polymorph listed for this composition = 97 meV/atom
Density of states at the Fermi level = 8.2 states/eV per cell
Calculated volume = 27.8 Å³ per atom
Energy relative to the elements = -0.70 eV/f.u.


No. 10
## ErB4Ru4 (PBE)

Data for ErB4Ru4 after structural relaxation. Values from VASP.

The structure in Quantum ESPRESSO input format:
```
&SYSTEM
  ibrav = 0, nat = 18, ntyp = 3
/
ATOMIC_SPECIES
Er 167.26 Er.upf
Ru 101.07 Ru.upf
B 10.81 B.upf
CELL_PARAMETERS angstrom
4.062 0.000 0.000
0.000 7.421 0.000
0.000 0.000 7.421
ATOMIC_POSITIONS crystal
Er 0.000 0.000 0.000
Er 0.500 0.500 0.500
Ru 0.387 0.356 0.889
Ru 0.613 0.889 0.644
Ru 0.113 0.144 0.611
Ru 0.887 0.611 0.856
Ru 0.387 0.644 0.111
Ru 0.887 0.389 0.144
Ru 0.613 0.111 0.356
Ru 0.113 0.856 0.389
B 0.387 0.706 0.832
B 0.887 0.332 0.794
B 0.887 0.668 0.206
B 0.113 0.206 0.332
B 0.613 0.832 0.294
B 0.613 0.168 0.706
B 0.113 0.794 0.668
B 0.387 0.294 0.168
```

Summary:
Crystal system = tetragonal
Energy relative to the lowest polymorph listed for this composition = 34 meV/atom
Density of states at the Fermi level = 15.0 states/eV per cell
Calculated volume = 12.4 Å³ per atom
Energy relative to the elements = -4.20 eV/f.u.


No. 11
## Er2ZnCo5B2 (PBE)

Data for Er2ZnCo5B2 after structural relaxation. Values from VASP.

The structure in Quantum ESPRESSO input format:
```
&SYSTEM
  ibrav = 0, nat = 20, ntyp = 4
/
ATOMIC_SPECIES
Er 167.26 Er.upf
Co 58.93 Co.upf
Zn 65.41 Zn.upf
B 10.81 B.upf
CELL_PARAMETERS angstrom
-1.398 2.688 0.117
-7.715 -4.104 2.100
2.020 0.670 8.732
ATOMIC_POSITIONS crystal
Er 0.000 0.677 0.177
Er 0.000 0.823 0.677
Er 0.000 0.323 0.823
Er 0.000 0.177 0.323
Co 0.500 0.068 0.772
Co 0.500 0.228 0.068
Co 0.500 0.500 0.000
Co 0.500 0.272 0.568
Co 0.500 0.000 0.500
Co 0.500 0.728 0.432
Co 0.500 0.932 0.228
Co 0.500 0.772 0.932
Co 0.500 0.568 0.728
Co 0.500 0.432 0.272
Zn 0.000 0.000 0.000
Zn 0.000 0.500 0.500
B 0.000 0.119 0.619
B 0.000 0.619 0.881
B 0.000 0.881 0.381
B 0.000 0.381 0.119
```

Summary:
Crystal system = tetragonal
Density of states at the Fermi level = 15.6 states/eV per cell
Calculated volume = 12.2 Å³ per atom
Energy relative to the elements = -3.50 eV/f.u.


No. 12
## FeBi2PtBr (PBE)

Data for FeBi2PtBr after structural relaxation. Values from VASP.

The structure in Quantum ESPRESSO input format:
```
&SYSTEM
  ibrav = 0, nat = 5, ntyp = 4
/
ATOMIC_SPECIES
Pt 195.08 Pt.upf
Bi 208.98 Bi.upf
Fe 55.84 Fe.upf
Br 79.90 Br.upf
CELL_PARAMETERS angstrom
-0.086 2.541 -5.080
2.981 -3.233 -1.668
-4.393 -3.250 -1.551
ATOMIC_POSITIONS crystal
Pt 0.000 0.500 0.000
Bi 0.500 0.000 0.000
Bi 0.000 0.000 0.500
Fe 0.500 0.500 0.500
Br 0.000 0.000 0.000
```

Summary:
Crystal system = tetragonal
Density of states at the Fermi level = 7.0 states/eV per cell
Formation energy from raw total energies = 1.34 eV/atom
Calculated volume = 30.4 Å³ per atom